Record 1
Crystalline Er6Cd3Os at its relaxed geometry, computed with PBE-GGA.

Lattice parameters (Å, degrees): 9.0503 5.2082 11.3487 90.00 108.68 90.00
Atoms (fractional coordinates):
1 Er 0.0322 0.2500 0.4141
2 Er 0.1912 0.7500 0.1652
3 Er 0.2821 0.2500 0.0041
4 Er 0.3502 0.7500 0.8329
5 Er 0.3780 0.2500 0.3451
6 Er 0.3881 0.2500 0.6484
7 Er 0.6119 0.7500 0.3516
8 Er 0.6220 0.7500 0.6549
9 Er 0.6498 0.2500 0.1671
10 Er 0.7179 0.7500 0.9959
11 Er 0.8088 0.2500 0.8348
12 Er 0.9678 0.7500 0.5859
13 Cd 0.0088 0.7500 0.8698
14 Cd 0.0850 0.2500 0.7214
15 Cd 0.2713 0.7500 0.4727
16 Cd 0.7287 0.2500 0.5273
17 Cd 0.9150 0.7500 0.2786
18 Cd 0.9912 0.2500 0.1302
19 Os 0.4627 0.7500 0.0955
20 Os 0.5373 0.2500 0.9045

Properties
Uncorrected energy ... -4.39 eV per atom
ρ ... 10.03 g cm⁻³
Magnetization ... 0.0 μB per cell
D(E_F) ... 12.63 states/eV per cell

Record 2
Crystalline ErPaCdOs at its relaxed geometry, computed with PBE-GGA.

Lattice parameters (Å, degrees): 5.0175 5.0175 5.0175 60.00 60.00 60.00
Atoms (fractional coordinates):
1 Er 0.0000 0.0000 0.0000
2 Pa 0.5000 0.5000 0.5000
3 Cd 0.7500 0.7500 0.7500
4 Os 0.2500 0.2500 0.2500

Properties
Uncorrected energy ... -6.57 eV per atom
ρ ... 13.03 g cm⁻³
Magnetization ... 0.0 μB per cell
D(E_F) ... 4.96 states/eV per cell

| no. | calculated formation energy (meV per atom) |
| --- | --- |
| 1 | -256.8 |
| 2 | -23.0 |